VASP calculation (PBE) on crystalline Cs2RbAgF5 at its relaxed geometry.

Cell and atoms, written as POSCAR:
```
Cs2RbAgF5
1.0
-0.640 2.556 -3.474
-5.612 2.348 2.761
6.804 2.688 3.461
F Rb Cs Ag
5 1 2 1
direct
0.000 0.000 0.000 F
0.384 0.127 0.768 F
0.616 0.360 0.232 F
0.616 0.873 0.232 F
0.384 0.640 0.768 F
0.000 0.500 0.000 Rb
0.212 0.212 0.424 Cs
0.788 0.788 0.576 Cs
0.500 0.000 0.000 Ag
```

DFT total energy = -3.830 eV per atom
DOS at the Fermi energy = 0.486 states/eV/atom
energy relative to the elements, uncorrected = -2.1760 eV per atom
total moment = 0.084 μB per atom
space-group type = No. 71